Entry 1:
Crystalline K4AlNi at its relaxed geometry. Source: Alexandria, functional PBE.

Its crystal system is cubic. The formation energy from the elements is 883 meV per atom. The value obtained for the electronic total energy is -1.4358 eV per atom. The calculation puts the volume at 40.0 Å³ per atom.

Lattice parameters (Å, degrees): 9.8618 9.8618 9.8618 90.00 90.00 90.00
With the nearest neighbours (Å) after each atom.
Space group F-43m (No. 216)
Inequivalent atoms, fractional coordinates:
K: 0.1245 0.1245 0.1245 x16  6 K 3.47-3.50
Al: 0.0000 0.0000 0.5000 x4  12 K 4.09, 4 Ni 4.27
Ni: 0.2500 0.2500 0.7500 x4  12 K 4.09, 4 Al 4.27

Entry 2:
Crystalline KAlNi2 at its relaxed geometry. Source: Alexandria, functional PBE.

Its crystal system is monoclinic. The formation energy from the elements is 209 meV per atom. The value obtained for the electronic total energy is -3.8918 eV per atom. The calculation puts the volume at 20.7 Å³ per atom.

Lattice parameters (Å, degrees): 9.0269 2.8303 6.6230 90.00 102.04 90.00
With the nearest neighbours (Å) after each atom.
Space group Cm (No. 8)
Inequivalent atoms, fractional coordinates:
K: 0.0000 0.0000 0.0000 x2  2 K 2.83, 1 Ni 3.12
Al: 0.3103 0.5000 0.4554 x2  5 Ni 2.36-2.60
Ni: 0.0228 0.5000 0.4591 x2  2 Ni 2.37, 3 Al 2.38-2.60
Ni: 0.2015 0.0000 0.6695 x2  2 Al 2.36, 2 Ni 2.37

Entry 3:
Crystalline KAlNi3 at its relaxed geometry. Source: Alexandria, functional PBE.

Its crystal system is cubic. The formation energy from the elements is 1870 meV per atom. The value obtained for the electronic total energy is -2.5670 eV per atom. The calculation puts the volume at 18.0 Å³ per atom. Its energy above the most stable polymorph in this dataset is 1244 meV/atom.

Lattice parameters (Å, degrees): 4.4827 4.4827 4.4827 90.00 90.00 90.00
With the nearest neighbours (Å) after each atom.
Space group Pm-3m (No. 221)
Inequivalent atoms, fractional coordinates:
K: 0.0000 0.0000 0.0000 x1  6 Ni 2.24
Al: 0.5000 0.5000 0.5000 x1  12 Ni 3.17
Ni: 0.0000 0.0000 0.5000 x3  2 K 2.24

- Which value of electronic total energy does entry 1 give?
  -1.4358 eV per atom

- Which of these has the highest formation energy from the elements?
  KAlNi3

- Which of these has the lowest electronic total energy?
  KAlNi2